Entry 1:
## AlTeMo (PBE)

Data for a geometry-optimized AlTeMo structure.

Values from the calculation:
The symmetry is No. 216. The energy relative to the elements, uncorrected comes out at 0.464 eV/atom. The calculation puts the total magnetic moment at 0.99 Bohr magnetons per cell. Its mass density is 6.4 Mg/m³. The value obtained for the uncorrected energy is -16.3 eV/cell.

abc: 4.513 4.513 4.513
angles: 60.00 60.00 60.00
Fractional positions:
Al: 0.000 0.000 0.000
Te: 0.500 0.500 0.500
Mo: 0.750 0.750 0.750

---

Entry 2:
## NpCO5F (PBE)

Data for a geometry-optimized NpCO5F structure.

Values from the calculation:
The symmetry is No. 15. The energy relative to the elements, uncorrected comes out at -1.572 eV/atom. The calculation puts the total magnetic moment at 2.66 Bohr magnetons per cell. Its mass density is 5.6 Mg/m³. The value obtained for the uncorrected energy is -122.8 eV/cell.

abc: 5.449 5.449 7.614
angles: 104.89 104.89 97.33
Fractional positions:
Np: 0.000 0.500 0.000
Np: 0.500 0.000 0.500
C: 0.076 0.924 0.750
C: 0.924 0.076 0.250
O: 0.104 0.743 0.854
O: 0.142 0.172 0.873
O: 0.172 0.142 0.373
O: 0.257 0.896 0.646
O: 0.282 0.718 0.250
O: 0.718 0.282 0.750
O: 0.743 0.104 0.354
O: 0.828 0.858 0.627
O: 0.858 0.828 0.127
O: 0.896 0.257 0.146
F: 0.472 0.528 0.750
F: 0.528 0.472 0.250

---

Entry 3:
## LaMn4Ni (PBE)

Data for a geometry-optimized LaMn4Ni structure.

Values from the calculation:
The symmetry is No. 216. The calculation puts the total magnetic moment at 11.08 Bohr magnetons per cell. Its mass density is 7.5 Mg/m³. The formation energy is 38.2 kJ/mol of atoms. The value obtained for the uncorrected energy is -45.0 eV/cell.

abc: 5.085 5.085 5.085
angles: 60.00 60.00 60.00
Fractional positions:
La: 0.000 0.000 0.000
Mn: 0.129 0.624 0.624
Mn: 0.624 0.129 0.624
Mn: 0.624 0.624 0.129
Mn: 0.624 0.624 0.624
Ni: 0.250 0.250 0.250